(1)
# LaNiBi3 | Alexandria | PBEsol | relaxed
data_LaNiBi3
_cell_length_a 5.159
_cell_length_b 5.159
_cell_length_c 5.159
_cell_angle_alpha 90.00
_cell_angle_beta 90.00
_cell_angle_gamma 90.00
_symmetry_space_group_name_H-M 'P 1'
_symmetry_Int_Tables_number 1
_symmetry_space_group_name_Hall 'P 1'
loop_
_atom_site_label
_atom_site_fract_x
_atom_site_fract_y
_atom_site_fract_z
La1 0.000 0.000 0.000
Ni1 0.500 0.500 0.500
Bi1 0.000 0.500 0.500
Bi2 0.500 0.000 0.500
Bi3 0.500 0.500 0.000
# - Space-group type: Pm-3m, No. 221
# - M_tot: 0.00 μB per cell
# - E_form: -229 meV per atom

=====

(2)
# Cd2CuAg | Alexandria | PBEsol | relaxed
data_Cd2CuAg
_cell_length_a 4.733
_cell_length_b 4.733
_cell_length_c 4.733
_cell_angle_alpha 125.75
_cell_angle_beta 125.75
_cell_angle_gamma 80.30
_symmetry_space_group_name_H-M 'P 1'
_symmetry_Int_Tables_number 1
_symmetry_space_group_name_Hall 'P 1'
loop_
_atom_site_label
_atom_site_fract_x
_atom_site_fract_y
_atom_site_fract_z
Cd1 0.250 0.750 0.500
Cd2 0.750 0.250 0.500
Cu1 0.000 0.000 0.000
Ag1 0.500 0.500 0.000
# - Space-group type: I4/mmm, No. 139
# - M_tot: 0.00 μB per cell
# - E_form: 17 meV per atom

=====

(3)
# SrYTlOs2 | Alexandria | PBEsol | relaxed
data_SrYTlOs2
_cell_length_a 5.062
_cell_length_b 5.062
_cell_length_c 5.267
_cell_angle_alpha 90.00
_cell_angle_beta 90.00
_cell_angle_gamma 90.00
_symmetry_space_group_name_H-M 'P 1'
_symmetry_Int_Tables_number 1
_symmetry_space_group_name_Hall 'P 1'
loop_
_atom_site_label
_atom_site_fract_x
_atom_site_fract_y
_atom_site_fract_z
Sr1 0.000 0.000 0.000
Y1 0.500 0.500 0.000
Tl1 0.500 0.500 0.500
Os1 0.000 0.500 0.500
Os2 0.500 0.000 0.500
# - Space-group type: P4/mmm, No. 123
# - M_tot: 0.00 μB per cell
# - E_form: 1629 meV per atom

=====

(4)
# TlBiTeH2 | Alexandria | PBEsol | relaxed
data_TlBiTeH2
_cell_length_a 4.215
_cell_length_b 4.215
_cell_length_c 6.308
_cell_angle_alpha 90.00
_cell_angle_beta 90.00
_cell_angle_gamma 90.00
_symmetry_space_group_name_H-M 'P 1'
_symmetry_Int_Tables_number 1
_symmetry_space_group_name_Hall 'P 1'
loop_
_atom_site_label
_atom_site_fract_x
_atom_site_fract_y
_atom_site_fract_z
Tl1 0.000 0.000 0.000
Bi1 0.000 0.000 0.500
Te1 0.500 0.500 0.500
H1 0.000 0.500 0.000
H2 0.500 0.000 0.000
# - Raw total energy: -3.054 eV/atom
# - Space-group type: P4/mmm, No. 123
# - M_tot: 0.00 μB per cell

=====

(5)
# Li3AsPb | Alexandria | PBEsol | relaxed
data_Li3AsPb
_cell_length_a 4.743
_cell_length_b 4.743
_cell_length_c 4.743
_cell_angle_alpha 90.00
_cell_angle_beta 90.00
_cell_angle_gamma 90.00
_symmetry_space_group_name_H-M 'P 1'
_symmetry_Int_Tables_number 1
_symmetry_space_group_name_Hall 'P 1'
loop_
_atom_site_label
_atom_site_fract_x
_atom_site_fract_y
_atom_site_fract_z
Li1 0.000 0.000 0.500
Li2 0.000 0.500 0.000
Li3 0.500 0.000 0.000
As1 0.000 0.000 0.000
Pb1 0.500 0.500 0.500
# - Space-group type: Pm-3m, No. 221
# - M_tot: 0.00 μB per cell
# - E_form: -225 meV per atom

=====

(6)
# LiMo3P | Alexandria | PBEsol | relaxed
data_LiMo3P
_cell_length_a 4.106
_cell_length_b 4.106
_cell_length_c 4.106
_cell_angle_alpha 90.00
_cell_angle_beta 90.00
_cell_angle_gamma 90.00
_symmetry_space_group_name_H-M 'P 1'
_symmetry_Int_Tables_number 1
_symmetry_space_group_name_Hall 'P 1'
loop_
_atom_site_label
_atom_site_fract_x
_atom_site_fract_y
_atom_site_fract_z
Li1 0.000 0.000 0.000
Mo1 0.000 0.000 0.500
Mo2 0.000 0.500 0.000
Mo3 0.500 0.000 0.000
P1 0.500 0.500 0.500
# - Space-group type: Pm-3m, No. 221
# - M_tot: 0.00 μB per cell
# - E_form: 1359 meV per atom

=====

(7)
# AcMgTl2 | Alexandria | PBEsol | relaxed
data_AcMgTl2
_cell_length_a 5.453
_cell_length_b 5.453
_cell_length_c 5.453
_cell_angle_alpha 60.00
_cell_angle_beta 60.00
_cell_angle_gamma 60.00
_symmetry_space_group_name_H-M 'P 1'
_symmetry_Int_Tables_number 1
_symmetry_space_group_name_Hall 'P 1'
loop_
_atom_site_label
_atom_site_fract_x
_atom_site_fract_y
_atom_site_fract_z
Ac1 0.000 0.000 0.000
Mg1 0.500 0.500 0.500
Tl1 0.250 0.250 0.250
Tl2 0.750 0.750 0.750
# - Space-group type: Fm-3m, No. 225
# - M_tot: 0.00 μB per cell
# - E_form: -326 meV per atom

=====

(8)
# RuCl3 | Alexandria | PBEsol | relaxed
data_RuCl3
_cell_length_a 4.700
_cell_length_b 4.700
_cell_length_c 4.700
_cell_angle_alpha 90.00
_cell_angle_beta 90.00
_cell_angle_gamma 90.00
_symmetry_space_group_name_H-M 'P 1'
_symmetry_Int_Tables_number 1
_symmetry_space_group_name_Hall 'P 1'
loop_
_atom_site_label
_atom_site_fract_x
_atom_site_fract_y
_atom_site_fract_z
Ru1 0.000 0.000 0.000
Cl1 0.000 0.000 0.500
Cl2 0.000 0.500 0.000
Cl3 0.500 0.000 0.000
# - Space-group type: Pm-3m, No. 221
# - M_tot: 2.29 μB per cell
# - Formation energy from raw total energies: -0.182 eV per atom

=====

(9)
# Cd3SeBr | Alexandria | PBEsol | relaxed
data_Cd3SeBr
_cell_length_a 5.403
_cell_length_b 5.403
_cell_length_c 5.403
_cell_angle_alpha 90.00
_cell_angle_beta 90.00
_cell_angle_gamma 90.00
_symmetry_space_group_name_H-M 'P 1'
_symmetry_Int_Tables_number 1
_symmetry_space_group_name_Hall 'P 1'
loop_
_atom_site_label
_atom_site_fract_x
_atom_site_fract_y
_atom_site_fract_z
Cd1 0.000 0.000 0.500
Cd2 0.000 0.500 0.000
Cd3 0.500 0.000 0.000
Se1 0.000 0.000 0.000
Br1 0.500 0.500 0.500
# - Space-group type: Pm-3m, No. 221
# - M_tot: 0.00 μB per cell
# - Formation energy from raw total energies: 0.059 eV per atom

=====

(10)
# Ca2YSe | Alexandria | PBEsol | relaxed
data_Ca2YSe
_cell_length_a 5.469
_cell_length_b 5.469
_cell_length_c 5.469
_cell_angle_alpha 60.00
_cell_angle_beta 60.00
_cell_angle_gamma 60.00
_symmetry_space_group_name_H-M 'P 1'
_symmetry_Int_Tables_number 1
_symmetry_space_group_name_Hall 'P 1'
loop_
_atom_site_label
_atom_site_fract_x
_atom_site_fract_y
_atom_site_fract_z
Ca1 0.250 0.250 0.250
Ca2 0.750 0.750 0.750
Y1 0.000 0.000 0.000
Se1 0.500 0.500 0.500
# - Space-group type: Fm-3m, No. 225
# - M_tot: 0.74 μB per cell
# - ΔE to the lowest computed polymorph: 693.0 meV per atom
# - Formation energy from raw total energies: -0.078 eV per atom

=====

(11)
# Sr2CaTl | Alexandria | PBEsol | relaxed
data_Sr2CaTl
_cell_length_a 3.968
_cell_length_b 3.968
_cell_length_c 10.007
_cell_angle_alpha 90.00
_cell_angle_beta 90.00
_cell_angle_gamma 90.00
_symmetry_space_group_name_H-M 'P 1'
_symmetry_Int_Tables_number 1
_symmetry_space_group_name_Hall 'P 1'
loop_
_atom_site_label
_atom_site_fract_x
_atom_site_fract_y
_atom_site_fract_z
Sr1 0.000 0.000 0.000
Sr2 0.500 0.500 0.327
Ca1 0.500 0.500 0.703
Tl1 0.000 0.000 0.532
# - Space-group type: P4mm, No. 99
# - M_tot: 0.00 μB per cell
# - E_form: -237 meV per atom
# - ΔE to the lowest computed polymorph: 1.8 meV per atom

=====

(12)
# Sc3C | Alexandria | PBEsol | relaxed
data_Sc3C
_cell_length_a 8.426
_cell_length_b 8.426
_cell_length_c 8.426
_cell_angle_alpha 22.44
_cell_angle_beta 22.44
_cell_angle_gamma 22.44
_symmetry_space_group_name_H-M 'P 1'
_symmetry_Int_Tables_number 1
_symmetry_space_group_name_Hall 'P 1'
loop_
_atom_site_label
_atom_site_fract_x
_atom_site_fract_y
_atom_site_fract_z
Sc1 0.000 0.000 0.000
Sc2 0.216 0.216 0.216
Sc3 0.784 0.784 0.784
C1 0.500 0.500 0.500
# - Space-group type: R-3m, No. 166
# - M_tot: 0.26 μB per cell
# - E_form: -287 meV per atom
# - ΔE to the lowest computed polymorph: 0.0 meV per atom

=====

(13)
# Sc2TlIr | Alexandria | PBEsol | relaxed
data_Sc2TlIr
_cell_length_a 3.166
_cell_length_b 3.166
_cell_length_c 7.709
_cell_angle_alpha 90.00
_cell_angle_beta 90.00
_cell_angle_gamma 90.00
_symmetry_space_group_name_H-M 'P 1'
_symmetry_Int_Tables_number 1
_symmetry_space_group_name_Hall 'P 1'
loop_
_atom_site_label
_atom_site_fract_x
_atom_site_fract_y
_atom_site_fract_z
Sc1 0.000 0.000 0.211
Sc2 0.000 0.000 0.789
Tl1 0.500 0.500 0.500
Ir1 0.500 0.500 0.000
# - Space-group type: P4/mmm, No. 123
# - M_tot: 0.00 μB per cell
# - E_form: -683 meV per atom